No. 1
First-principles (GGA-PBE) data for Tb2Pr5Tl after structural relaxation, as listed in Alexandria.

```
data_Tb2Pr5Tl
_space_group_name_H-M_alt 'P 1'
_space_group_IT_number 1
_cell_length_a 7.2430
_cell_length_b 14.5559
_cell_length_c 5.0503
_cell_angle_alpha 90.00
_cell_angle_beta 90.00
_cell_angle_gamma 90.00
loop_
_space_group_symop_operation_xyz
'x,y,z'
loop_
_atom_site_label
_atom_site_type_symbol
_atom_site_fract_x
_atom_site_fract_y
_atom_site_fract_z
Tb1 Tb 0.2494 0.1215 0.0000
Tb2 Tb 0.2506 0.6215 0.0000
Tb3 Tb 0.7494 0.3785 0.0000
Tb4 Tb 0.7506 0.8785 0.0000
Pr1 Pr 0.0000 0.0000 0.5000
Pr2 Pr 0.0032 0.7390 0.5000
Pr3 Pr 0.2481 0.8742 0.0000
Pr4 Pr 0.2519 0.3742 0.0000
Pr5 Pr 0.4968 0.2390 0.5000
Pr6 Pr 0.5000 0.5000 0.5000
Pr7 Pr 0.5032 0.7610 0.5000
Pr8 Pr 0.7481 0.6258 0.0000
Pr9 Pr 0.7519 0.1258 0.0000
Pr10 Pr 0.9968 0.2610 0.5000
Tl1 Tl 0.0000 0.5000 0.5000
Tl2 Tl 0.5000 0.0000 0.5000
```

## Properties
Formation enthalpy at 0 K in eV per atom: -0.048
E above lowest polymorph in kJ per mole of atoms: 0.0
VASP energy in eV per atom: -4.4888
Spin magnetization in μB/cell: 0.0

No. 2
First-principles (GGA-PBE) data for Rb2Ca2Ti after structural relaxation, as listed in Alexandria.

```
data_Rb2Ca2Ti
_space_group_name_H-M_alt 'P 1'
_space_group_IT_number 1
_cell_length_a 8.9259
_cell_length_b 8.9259
_cell_length_c 6.1618
_cell_angle_alpha 90.00
_cell_angle_beta 90.00
_cell_angle_gamma 90.00
loop_
_space_group_symop_operation_xyz
'x,y,z'
loop_
_atom_site_label
_atom_site_type_symbol
_atom_site_fract_x
_atom_site_fract_y
_atom_site_fract_z
Rb1 Rb 0.1351 0.3649 0.0000
Rb2 Rb 0.3649 0.8649 0.0000
Rb3 Rb 0.6351 0.1351 0.0000
Rb4 Rb 0.8649 0.6351 0.0000
Ca1 Ca 0.1862 0.6862 0.5000
Ca2 Ca 0.3138 0.1862 0.5000
Ca3 Ca 0.6862 0.8138 0.5000
Ca4 Ca 0.8138 0.3138 0.5000
Ti1 Ti 0.0000 0.0000 0.0000
Ti2 Ti 0.5000 0.5000 0.0000
```

## Properties
Formation enthalpy at 0 K in eV per atom: 0.965
E above lowest polymorph in kJ per mole of atoms: 0.0
VASP energy in eV per atom: -1.8017
Spin magnetization in μB/cell: 7.4

No. 3
First-principles (GGA-PBE) data for SrLi2CdRh after structural relaxation, as listed in Alexandria.

```
data_SrLi2CdRh
_space_group_name_H-M_alt 'P 1'
_space_group_IT_number 1
_cell_length_a 4.8128
_cell_length_b 4.8128
_cell_length_c 5.2543
_cell_angle_alpha 90.00
_cell_angle_beta 90.00
_cell_angle_gamma 90.00
loop_
_space_group_symop_operation_xyz
'x,y,z'
loop_
_atom_site_label
_atom_site_type_symbol
_atom_site_fract_x
_atom_site_fract_y
_atom_site_fract_z
Sr1 Sr 0.0000 0.0000 0.0000
Li1 Li 0.0000 0.5000 0.5000
Li2 Li 0.5000 0.0000 0.5000
Cd1 Cd 0.5000 0.5000 0.0000
Rh1 Rh 0.5000 0.5000 0.5000
```

## Properties
Formation enthalpy at 0 K in eV per atom: -0.091
VASP energy in eV per atom: -2.8460
Spin magnetization in μB/cell: 0.0

No. 4
First-principles (GGA-PBE) data for KSc2Ni after structural relaxation, as listed in Alexandria.

```
data_KSc2Ni
_space_group_name_H-M_alt 'P 1'
_space_group_IT_number 1
_cell_length_a 4.2125
_cell_length_b 4.2125
_cell_length_c 10.2833
_cell_angle_alpha 90.00
_cell_angle_beta 90.00
_cell_angle_gamma 90.00
loop_
_space_group_symop_operation_xyz
'x,y,z'
loop_
_atom_site_label
_atom_site_type_symbol
_atom_site_fract_x
_atom_site_fract_y
_atom_site_fract_z
K1 K 0.0000 0.0000 0.0000
K2 K 0.5000 0.5000 0.5000
Sc1 Sc 0.0000 0.0000 0.5000
Sc2 Sc 0.0000 0.5000 0.2500
Sc3 Sc 0.5000 0.0000 0.7500
Sc4 Sc 0.5000 0.5000 0.0000
Ni1 Ni 0.0000 0.5000 0.7500
Ni2 Ni 0.5000 0.0000 0.2500
```

## Properties
Formation enthalpy at 0 K in eV per atom: 0.726
E above lowest polymorph in kJ per mole of atoms: 65.0
VASP energy in eV per atom: -4.1591
Spin magnetization in μB/cell: 0.0

No. 5
First-principles (GGA-PBE) data for LaTbSm2Tm after structural relaxation, as listed in Alexandria.

```
data_LaTbSm2Tm
_space_group_name_H-M_alt 'P 1'
_space_group_IT_number 1
_cell_length_a 3.6531
_cell_length_b 5.6381
_cell_length_c 8.6296
_cell_angle_alpha 90.00
_cell_angle_beta 90.00
_cell_angle_gamma 90.00
loop_
_space_group_symop_operation_xyz
'x,y,z'
loop_
_atom_site_label
_atom_site_type_symbol
_atom_site_fract_x
_atom_site_fract_y
_atom_site_fract_z
La1 La 0.0000 0.0000 0.0000
Tb1 Tb 0.5000 0.5000 0.0000
Sm1 Sm 0.0000 0.5000 0.3226
Sm2 Sm 0.0000 0.5000 0.6774
Tm1 Tm 0.5000 0.0000 0.5000
```

## Properties
Formation enthalpy at 0 K in eV per atom: 0.275
VASP energy in eV per atom: -4.4190
Spin magnetization in μB/cell: 0.0

No. 6
First-principles (GGA-PBE) data for KCuTc2 after structural relaxation, as listed in Alexandria.

```
data_KCuTc2
_space_group_name_H-M_alt 'P 1'
_space_group_IT_number 1
_cell_length_a 3.0438
_cell_length_b 3.0432
_cell_length_c 8.4791
_cell_angle_alpha 90.00
_cell_angle_beta 90.10
_cell_angle_gamma 90.00
loop_
_space_group_symop_operation_xyz
'x,y,z'
loop_
_atom_site_label
_atom_site_type_symbol
_atom_site_fract_x
_atom_site_fract_y
_atom_site_fract_z
K1 K 0.0000 0.0000 0.0000
Cu1 Cu 0.5024 0.5000 0.6968
Tc1 Tc 0.0010 0.0000 0.5063
Tc2 Tc 0.5003 0.5000 0.3491
```

## Properties
Formation enthalpy at 0 K in eV per atom: 0.586
E above lowest polymorph in kJ per mole of atoms: 0.0
VASP energy in eV per atom: -5.8950
Spin magnetization in μB/cell: 0.1

No. 7
First-principles (GGA-PBE) data for CoRhAu2 after structural relaxation, as listed in Alexandria.

```
data_CoRhAu2
_space_group_name_H-M_alt 'P 1'
_space_group_IT_number 1
_cell_length_a 7.1774
_cell_length_b 7.1774
_cell_length_c 5.2717
_cell_angle_alpha 90.00
_cell_angle_beta 90.00
_cell_angle_gamma 90.00
loop_
_space_group_symop_operation_xyz
'x,y,z'
loop_
_atom_site_label
_atom_site_type_symbol
_atom_site_fract_x
_atom_site_fract_y
_atom_site_fract_z
Co1 Co 0.0000 0.0000 0.0000
Co2 Co 0.0000 0.5000 0.2500
Co3 Co 0.5000 0.0000 0.7500
Co4 Co 0.5000 0.5000 0.5000
Rh1 Rh 0.0000 0.0000 0.5000
Rh2 Rh 0.0000 0.5000 0.7500
Rh3 Rh 0.5000 0.0000 0.2500
Rh4 Rh 0.5000 0.5000 0.0000
Au1 Au 0.2298 0.2500 0.1250
Au2 Au 0.2500 0.7298 0.3750
Au3 Au 0.2500 0.7702 0.8750
Au4 Au 0.2702 0.2500 0.6250
Au5 Au 0.7298 0.7500 0.6250
Au6 Au 0.7500 0.2298 0.8750
Au7 Au 0.7500 0.2702 0.3750
Au8 Au 0.7702 0.7500 0.1250
```

## Properties
Formation enthalpy at 0 K in eV per atom: 0.566
E above lowest polymorph in kJ per mole of atoms: 44.9
VASP energy in eV per atom: -4.6875
Spin magnetization in μB/cell: 11.2

No. 8
First-principles (GGA-PBE) data for TiVAs2Br after structural relaxation, as listed in Alexandria.

```
data_TiVAs2Br
_space_group_name_H-M_alt 'P 1'
_space_group_IT_number 1
_cell_length_a 4.7198
_cell_length_b 4.7198
_cell_length_c 5.1819
_cell_angle_alpha 90.00
_cell_angle_beta 90.00
_cell_angle_gamma 90.00
loop_
_space_group_symop_operation_xyz
'x,y,z'
loop_
_atom_site_label
_atom_site_type_symbol
_atom_site_fract_x
_atom_site_fract_y
_atom_site_fract_z
Ti1 Ti 0.0000 0.0000 0.0000
V1 V 0.5000 0.5000 0.5000
As1 As 0.0000 0.5000 0.5000
As2 As 0.5000 0.0000 0.5000
Br1 Br 0.5000 0.5000 0.0000
```

## Properties
E above lowest polymorph in kJ per mole of atoms: 0.0
VASP energy in eV per atom: -5.2670
Formation energy from raw total energies in eV/atom: 0.330
Spin magnetization in μB/cell: 3.1

No. 9
First-principles (GGA-PBE) data for BaMgHgPb2 after structural relaxation, as listed in Alexandria.

```
data_BaMgHgPb2
_space_group_name_H-M_alt 'P 1'
_space_group_IT_number 1
_cell_length_a 4.8797
_cell_length_b 4.8797
_cell_length_c 13.5220
_cell_angle_alpha 90.00
_cell_angle_beta 90.00
_cell_angle_gamma 90.00
loop_
_space_group_symop_operation_xyz
'x,y,z'
loop_
_atom_site_label
_atom_site_type_symbol
_atom_site_fract_x
_atom_site_fract_y
_atom_site_fract_z
Ba1 Ba 0.0000 0.0000 0.0000
Ba2 Ba 0.5000 0.5000 0.5000
Mg1 Mg 0.0000 0.5000 0.7500
Mg2 Mg 0.5000 0.0000 0.2500
Hg1 Hg 0.0000 0.5000 0.2500
Hg2 Hg 0.5000 0.0000 0.7500
Pb1 Pb 0.0000 0.0000 0.3843
Pb2 Pb 0.0000 0.0000 0.6157
Pb3 Pb 0.5000 0.5000 0.1157
Pb4 Pb 0.5000 0.5000 0.8843
```

## Properties
Formation enthalpy at 0 K in eV per atom: -0.317
E above lowest polymorph in kJ per mole of atoms: 0.0
VASP energy in eV per atom: -2.5642
Spin magnetization in μB/cell: 0.0

No. 10
First-principles (GGA-PBE) data for InCoPb2 after structural relaxation, as listed in Alexandria.

```
data_InCoPb2
_space_group_name_H-M_alt 'P 1'
_space_group_IT_number 1
_cell_length_a 6.5777
_cell_length_b 8.2921
_cell_length_c 3.5519
_cell_angle_alpha 90.00
_cell_angle_beta 90.00
_cell_angle_gamma 90.00
loop_
_space_group_symop_operation_xyz
'x,y,z'
loop_
_atom_site_label
_atom_site_type_symbol
_atom_site_fract_x
_atom_site_fract_y
_atom_site_fract_z
In1 In 0.0000 0.0000 0.0000
In2 In 0.5000 0.5000 0.0000
Co1 Co 0.0000 0.5000 0.0000
Co2 Co 0.5000 0.0000 0.0000
Pb1 Pb 0.2500 0.2500 0.5000
Pb2 Pb 0.2500 0.7500 0.5000
Pb3 Pb 0.7500 0.2500 0.5000
Pb4 Pb 0.7500 0.7500 0.5000
```

## Properties
Formation enthalpy at 0 K in eV per atom: 0.525
VASP energy in eV per atom: -3.7906
Spin magnetization in μB/cell: 2.7

No. 11
First-principles (GGA-PBE) data for Y3Er2Se6 after structural relaxation, as listed in Alexandria.

```
data_Y3Er2Se6
_space_group_name_H-M_alt 'P 1'
_space_group_IT_number 1
_cell_length_a 20.2943
_cell_length_b 20.2943
_cell_length_c 20.2943
_cell_angle_alpha 11.58
_cell_angle_beta 11.58
_cell_angle_gamma 11.58
loop_
_space_group_symop_operation_xyz
'x,y,z'
loop_
_atom_site_label
_atom_site_type_symbol
_atom_site_fract_x
_atom_site_fract_y
_atom_site_fract_z
Y1 Y 0.0000 0.0000 0.0000
Y2 Y 0.2792 0.2792 0.2792
Y3 Y 0.7208 0.7208 0.7208
Er1 Er 0.4468 0.4468 0.4468
Er2 Er 0.5532 0.5532 0.5532
Se1 Se 0.0830 0.0830 0.0830
Se2 Se 0.1970 0.1970 0.1970
Se3 Se 0.3608 0.3608 0.3608
Se4 Se 0.6392 0.6392 0.6392
Se5 Se 0.8030 0.8030 0.8030
Se6 Se 0.9170 0.9170 0.9170
```

## Properties
E above lowest polymorph in kJ per mole of atoms: 7.5
VASP energy in eV per atom: -6.2733
Formation energy from raw total energies in eV/atom: -1.780
Spin magnetization in μB/cell: 0.0

No. 12
First-principles (GGA-PBE) data for KBiPdW2 after structural relaxation, as listed in Alexandria.

```
data_KBiPdW2
_space_group_name_H-M_alt 'P 1'
_space_group_IT_number 1
_cell_length_a 5.3714
_cell_length_b 5.3714
_cell_length_c 5.3139
_cell_angle_alpha 90.00
_cell_angle_beta 90.00
_cell_angle_gamma 90.00
loop_
_space_group_symop_operation_xyz
'x,y,z'
loop_
_atom_site_label
_atom_site_type_symbol
_atom_site_fract_x
_atom_site_fract_y
_atom_site_fract_z
K1 K 0.0000 0.0000 0.0000
Bi1 Bi 0.5000 0.5000 0.5000
Pd1 Pd 0.5000 0.5000 0.0000
W1 W 0.0000 0.5000 0.5000
W2 W 0.5000 0.0000 0.5000
```

## Properties
Formation enthalpy at 0 K in eV per atom: 2.130
VASP energy in eV per atom: -5.0853
Spin magnetization in μB/cell: 6.3

No. 13
First-principles (GGA-PBE) data for CeGe2Ir2Pd after structural relaxation, as listed in Alexandria.

```
data_CeGe2Ir2Pd
_space_group_name_H-M_alt 'P 1'
_space_group_IT_number 1
_cell_length_a 4.6401
_cell_length_b 4.6401
_cell_length_c 5.4998
_cell_angle_alpha 90.00
_cell_angle_beta 90.00
_cell_angle_gamma 90.00
loop_
_space_group_symop_operation_xyz
'x,y,z'
loop_
_atom_site_label
_atom_site_type_symbol
_atom_site_fract_x
_atom_site_fract_y
_atom_site_fract_z
Ce1 Ce 0.0000 0.0000 0.0000
Ge1 Ge 0.0000 0.5000 0.5000
Ge2 Ge 0.5000 0.0000 0.5000
Ir1 Ir 0.5000 0.5000 0.2362
Ir2 Ir 0.5000 0.5000 0.7638
Pd1 Pd 0.0000 0.0000 0.5000
```

## Properties
Formation enthalpy at 0 K in eV per atom: -0.058
VASP energy in eV per atom: -6.4056
Spin magnetization in μB/cell: 0.6